{
  "formula": "P2PbW",
  "functional": "meta-GGA SCAN",
  "state": "PBEsol geometry",
  "formation_energy_kj_per_mol_fu": 395,
  "lattice_angstrom": [[-1.3376, 2.7875, 1.0037], [-0.4943, -1.7612, 4.2327], [4.1766, 1.9474, 0.1578]],
  "species": ["P", "P", "Pb", "W"],
  "fractional_positions": [[0.0000, 0.5000, 0.0000], [0.0000, 0.0000, 0.5000], [0.5000, 0.0000, 0.0000], [0.5000, 0.5000, 0.5000]]
}



{
  "formula": "NdDy3",
  "functional": "meta-GGA SCAN",
  "state": "PBEsol geometry",
  "formation_energy_kj_per_mol_fu": 8,
  "lattice_angstrom": [[-3.6267, -3.2297, -0.9649], [3.1815, -2.8116, -2.5472], [1.3358, 0.5357, 5.8893]],
  "species": ["Nd", "Dy", "Dy", "Dy"],
  "fractional_positions": [[0.0000, 0.0000, 0.0000], [0.2500, 0.7500, 0.5000], [0.7500, 0.2500, 0.5000], [0.5000, 0.5000, 0.0000]]
}



{
  "formula": "CeYMg2",
  "functional": "meta-GGA SCAN",
  "state": "PBEsol geometry",
  "formation_energy_kj_per_mol_fu": -14,
  "lattice_angstrom": [[5.3218, 0.0000, 0.0000], [2.6609, 4.6088, 0.0000], [2.6609, 1.5363, 4.3452]],
  "species": ["Y", "Mg", "Mg", "Ce"],
  "fractional_positions": [[0.0000, 0.0000, 0.0000], [0.2500, 0.2500, 0.2500], [0.7500, 0.7500, 0.7500], [0.5000, 0.5000, 0.5000]]
}



{
  "formula": "SrReGe3",
  "functional": "meta-GGA SCAN",
  "state": "PBEsol geometry",
  "relative_energy_ev_per_atom": 2.442,
  "formation_energy_kj_per_mol_fu": 1174,
  "lattice_angstrom": [[-2.2038, 4.6025, 1.2424], [-3.6389, -2.5082, 2.8373], [3.0797, 0.3298, 4.2414]],
  "species": ["Re", "Ge", "Ge", "Ge", "Sr"],
  "fractional_positions": [[0.5000, 0.5000, 0.5000], [0.0000, 0.5000, 0.0000], [0.0000, 0.0000, 0.5000], [0.5000, 0.0000, 0.0000], [0.0000, 0.0000, 0.0000]]
}



{
  "formula": "Li2Mn3TeO8",
  "functional": "meta-GGA SCAN",
  "state": "PBEsol geometry",
  "raw_formation_energy_ev_per_fu": -26.766,
  "relative_energy_ev_per_atom": 0.003,
  "lattice_angstrom": [[5.9281, 0.0016, 0.0530], [2.9626, 5.1348, 0.0359], [2.8720, 1.6931, 10.2635]],
  "species": ["Mn", "Mn", "Mn", "Mn", "Mn", "Mn", "Te", "Te", "O", "O", "O", "O", "O", "O", "O", "O", "O", "O", "O", "O", "O", "O", "O", "O", "Li", "Li", "Li", "Li"],
  "fractional_positions": [[0.5000, 0.0000, 0.0000], [0.0000, 0.0000, 0.5000], [0.5000, 0.5000, 0.0000], [0.5000, 0.0000, 0.5000], [0.0000, 0.5000, 0.0000], [0.0000, 0.5000, 0.5000], [0.7500, 0.7500, 0.7500], [0.2500, 0.2500, 0.2500], [0.8624, 0.8624, 0.4130], [0.3623, 0.3624, 0.9130], [0.6377, 0.6376, 0.0870], [0.1376, 0.1376, 0.5870], [0.6788, 0.5980, 0.6258], [0.1788, 0.0979, 0.1259], [0.5979, 0.0975, 0.6258], [0.0978, 0.5975, 0.1258], [0.0975, 0.6787, 0.6258], [0.5974, 0.1788, 0.1258], [0.4026, 0.8212, 0.8742], [0.9025, 0.3213, 0.3742], [0.9022, 0.4025, 0.8742], [0.4021, 0.9025, 0.3742], [0.8212, 0.9021, 0.8741], [0.3212, 0.4020, 0.3742], [0.9337, 0.9338, 0.1988], [0.4338, 0.4338, 0.6988], [0.5662, 0.5662, 0.3012], [0.0663, 0.0662, 0.8012]]
}



{
  "formula": "PdWS2",
  "functional": "meta-GGA SCAN",
  "state": "PBEsol geometry",
  "raw_formation_energy_ev_per_fu": -0.318,
  "lattice_angstrom": [[-2.3213, -0.0451, -4.9881], [-1.1937, -5.0286, 3.6353], [-4.9860, -0.1480, 2.3216]],
  "species": ["S", "S", "S", "S", "Pd", "Pd", "W", "W"],
  "fractional_positions": [[0.1120, 0.7500, 0.8750], [0.6380, 0.7500, 0.3750], [0.3750, 0.2500, 0.1120], [0.8750, 0.2500, 0.6380], [0.2500, 0.5000, 0.2500], [0.5000, 0.0000, 0.5000], [0.7500, 0.5000, 0.7500], [0.0000, 0.0000, 0.0000]]
}



no.,magnetization (μB/cell),energy (eV per atom)
1,0.0,-40.54
2,0.0,-46.72
3,1.0,-20.62
4,3.6,-27.69
5,22.1,-12.39
6,0.0,-30.51